[1]
CaSmGdY | PBE-GGA | relaxed

Properties
Uncorrected energy ... -6.674 eV/atom
Magnetization ... 7.97 Bohr magnetons per cell
SG ... F-43m (216)

```
4
Lattice="-5.172 2.609 -0.027 -3.613 -0.777 -4.461 -4.826 -3.129 0.692" Properties=species:S:1:pos:R:3 pbc="T T T"
Gd -6.806 -0.648 -1.898
Y -10.209 -0.972 -2.847
Ca 0.000 0.000 0.000
Sm -3.403 -0.324 -0.949
```

[2]
Li5InAg2Pd2 | PBE-GGA | relaxed

Properties
Uncorrected energy ... -3.065 eV/atom
Magnetization ... 0.00 Bohr magnetons per cell
SG ... P4/mbm (127)

```
20
Lattice="3.929 0.000 0.000 0.000 9.287 0.000 0.000 0.000 9.287" Properties=species:S:1:pos:R:3 pbc="T T T"
Pd 0.000 8.235 3.592
Li 1.964 5.371 6.579
Li 1.964 1.936 0.728
Li 1.964 7.351 8.559
Li 1.964 6.579 3.916
Li 1.964 0.000 4.643
Ag 0.000 6.301 1.658
Pd 0.000 5.695 8.235
In 0.000 0.000 0.000
Ag 0.000 1.658 2.985
Li 1.964 8.559 1.936
Ag 0.000 2.985 7.629
Li 1.964 0.728 7.351
Pd 0.000 3.592 1.051
In 0.000 4.643 4.643
Li 1.964 3.916 2.708
Li 1.964 4.643 0.000
Li 1.964 2.708 5.371
Pd 0.000 1.051 5.695
Ag 0.000 7.629 6.301
```

[3]
BaLiNd | PBE-GGA | relaxed

Properties
Uncorrected energy ... -2.688 eV/atom
Magnetization ... 0.44 Bohr magnetons per cell
Polymorph energy (0 for the lowest one) ... 0 meV per atom
SG ... I4mm (107)

```
3
Lattice="4.014 0.000 0.000 0.000 4.014 0.000 -2.007 -2.007 7.018" Properties=species:S:1:pos:R:3 pbc="T T T"
Li 2.007 2.007 2.539
Ba 0.000 0.000 0.216
Nd 0.000 0.000 4.263
```

[4]
TmB3Ir3 | PBE-GGA | relaxed

Properties
Uncorrected energy ... -7.653 eV/atom
Magnetization ... 0.00 Bohr magnetons per cell
Polymorph energy (0 for the lowest one) ... 0 meV per atom
SG ... Pm-3n (223)

```
14
Lattice="5.863 0.000 0.000 0.000 5.863 0.000 0.000 0.000 5.863" Properties=species:S:1:pos:R:3 pbc="T T T"
Tm 0.000 0.000 0.000
B 0.000 2.931 4.397
Ir 0.000 4.397 2.931
Ir 4.397 2.931 0.000
B 0.000 2.931 1.466
Ir 2.931 0.000 4.397
Ir 0.000 1.466 2.931
Tm 2.931 2.931 2.931
B 4.397 0.000 2.931
B 2.931 4.397 0.000
Ir 2.931 0.000 1.466
B 1.466 0.000 2.931
Ir 1.466 2.931 0.000
B 2.931 1.466 0.000
```

[5]
Nd3Al2Tl | PBE-GGA | relaxed

Properties
Uncorrected energy ... -4.388 eV/atom
Magnetization ... 0.00 Bohr magnetons per cell
SG ... P4/mmm (123)

```
6
Lattice="-3.717 -0.236 -0.568 0.269 -3.753 -0.201 -1.692 -0.732 11.385" Properties=species:S:1:pos:R:3 pbc="T T T"
Nd -1.151 -0.498 7.745
Al -1.995 -2.112 1.438
Al -3.145 -2.609 9.178
Nd 0.000 0.000 0.000
Nd -0.541 -0.234 3.640
Tl -2.570 -2.360 5.308
```

[6]
LaPuPtO6 | PBE-GGA | relaxed

Properties
Formation energy without anion corrections ... -2236 meV per atom
Uncorrected energy ... -8.352 eV/atom
Magnetization ... 6.00 Bohr magnetons per cell
SG ... P-31c (163)

```
18
Lattice="5.396 0.000 0.000 -2.698 4.673 0.000 0.000 0.000 10.739" Properties=species:S:1:pos:R:3 pbc="T T T"
O 0.790 4.605 3.851
O 3.487 0.068 9.221
Pt 0.000 3.115 2.685
O -0.790 4.605 1.518
O -1.685 3.054 3.851
O 0.896 1.687 3.851
O 3.594 2.986 9.221
La 0.000 0.000 5.369
O 1.802 2.986 6.888
La 0.000 0.000 0.000
Pt 2.698 1.558 8.054
Pu 2.698 1.558 2.685
O 4.383 1.619 6.888
O 1.685 3.054 1.518
Pu 0.000 3.115 8.054
O 1.013 1.619 9.221
O 1.908 0.068 6.888
O -0.896 1.687 1.518
```

Copy entry 4 word for word.
TmB3Ir3 | PBE-GGA | relaxed

Properties
Uncorrected energy ... -7.653 eV/atom
Magnetization ... 0.00 Bohr magnetons per cell
Polymorph energy (0 for the lowest one) ... 0 meV per atom
SG ... Pm-3n (223)

```
14
Lattice="5.863 0.000 0.000 0.000 5.863 0.000 0.000 0.000 5.863" Properties=species:S:1:pos:R:3 pbc="T T T"
Tm 0.000 0.000 0.000
B 0.000 2.931 4.397
Ir 0.000 4.397 2.931
Ir 4.397 2.931 0.000
B 0.000 2.931 1.466
Ir 2.931 0.000 4.397
Ir 0.000 1.466 2.931
Tm 2.931 2.931 2.931
B 4.397 0.000 2.931
B 2.931 4.397 0.000
Ir 2.931 0.000 1.466
B 1.466 0.000 2.931
Ir 1.466 2.931 0.000
B 2.931 1.466 0.000
```